1.
Rb3ReGe | PBE | optimized geometry

Cell: 6.7942 6.7942 6.7942 Å, 90.00 90.00 90.00°
Last column: nearest neighbours and their distance in Å.
Positions (direct):
Rb 0.0000 0.0000 0.5000  2 Ge 3.40
Rb 0.0000 0.5000 0.0000  2 Ge 3.40
Rb 0.5000 0.0000 0.0000  2 Ge 3.40
Re 0.5000 0.5000 0.5000  12 Rb 4.80
Ge 0.0000 0.0000 0.0000  6 Rb 3.40

Summary:
Calculated density in g cm⁻³: 2.728
Calculated volume in Å³ per cell: 313.6


2.
RbReGe3 | PBE | optimized geometry

Cell: 5.1849 5.1849 5.1849 Å, 90.00 90.00 90.00°
Last column: nearest neighbours and their distance in Å.
Positions (direct):
Rb 0.0000 0.0000 0.0000  6 Ge 2.59
Re 0.5000 0.5000 0.5000  12 Ge 3.67
Ge 0.0000 0.0000 0.5000  2 Rb 2.59
Ge 0.0000 0.5000 0.0000  2 Rb 2.59
Ge 0.5000 0.0000 0.0000  2 Rb 2.59

Summary:
Calculated density in g cm⁻³: 5.833
Calculated volume in Å³ per cell: 139.4


3.
RbRe3Ge | PBE | optimized geometry

Cell: 4.7602 4.7602 4.7602 Å, 90.00 90.00 90.00°
Last column: nearest neighbours and their distance in Å.
Positions (direct):
Rb 0.0000 0.0000 0.0000  6 Re 2.38
Re 0.0000 0.0000 0.5000  2 Rb 2.38
Re 0.0000 0.5000 0.0000  2 Rb 2.38
Re 0.5000 0.0000 0.0000  2 Rb 2.38
Ge 0.5000 0.5000 0.5000  12 Re 3.37

Summary:
Calculated density in g cm⁻³: 11.034
Calculated volume in Å³ per cell: 107.9


4.
RbRe2Ge | PBE | optimized geometry

Cell: 4.8996 4.8996 18.0048 Å, 90.00 90.00 90.00°
Last column: nearest neighbours and their distance in Å.
Positions (direct):
Rb 0.0000 0.2500 0.3750  4 Ge 3.46, 8 Re 3.54
Rb 0.0000 0.7500 0.6250  4 Ge 3.46, 8 Re 3.54
Rb 0.5000 0.2500 0.1250  4 Ge 3.46, 8 Re 3.54
Rb 0.5000 0.7500 0.8750  4 Ge 3.46, 8 Re 3.54
Re 0.0000 0.0000 0.0000  2 Re 2.45, 2 Ge 2.56
Re 0.0000 0.5000 0.0000  2 Re 2.45, 2 Ge 2.56
Re 0.2500 0.2500 0.7500  2 Re 2.45, 2 Ge 2.56
Re 0.2500 0.7500 0.2500  2 Re 2.45, 2 Ge 2.56
Re 0.5000 0.0000 0.5000  2 Re 2.45, 2 Ge 2.56
Re 0.5000 0.5000 0.5000  2 Re 2.45, 2 Ge 2.56
Re 0.7500 0.2500 0.7500  2 Re 2.45, 2 Ge 2.56
Re 0.7500 0.7500 0.2500  2 Re 2.45, 2 Ge 2.56
Ge 0.0000 0.2500 0.8750  4 Re 2.56
Ge 0.0000 0.7500 0.1250  4 Re 2.56
Ge 0.5000 0.2500 0.6250  4 Re 2.56
Ge 0.5000 0.7500 0.3750  4 Re 2.56

Summary:
Calculated density in g cm⁻³: 8.153
Calculated volume in Å³ per cell: 432.2


5.
Rb2ReGeS | PBE | optimized geometry

Cell: 6.5168 6.5168 4.7592 Å, 90.00 90.00 90.00°
Last column: nearest neighbours and their distance in Å.
Positions (direct):
Rb 0.0000 0.5000 0.0000  2 Ge 3.26
Rb 0.5000 0.0000 0.0000  2 Ge 3.26
Re 0.0000 0.0000 0.5000  2 Ge 2.38
Ge 0.0000 0.0000 0.0000  2 Re 2.38
S 0.5000 0.5000 0.5000  8 Rb 4.03

Summary:
Calculated density in g cm⁻³: 3.794
Formation energy without anion corrections in eV/atom: 0.83
Calculated volume in Å³ per cell: 202.1


6.
RbReGe2S | PBE | optimized geometry

Cell: 5.3030 5.3030 5.1416 Å, 90.00 90.00 90.00°
Last column: nearest neighbours and their distance in Å.
Positions (direct):
Rb 0.0000 0.0000 0.0000  2 S 2.57, 4 Ge 2.65
Re 0.5000 0.5000 0.5000  8 Ge 3.69, 4 S 3.75
Ge 0.0000 0.5000 0.0000  2 Rb 2.65
Ge 0.5000 0.0000 0.0000  2 Rb 2.65
S 0.0000 0.0000 0.5000  2 Rb 2.57

Summary:
Calculated density in g cm⁻³: 5.157
Formation energy without anion corrections in eV/atom: 2.81
Calculated volume in Å³ per cell: 144.6


In the order shown, the computed final energy values come out to -12.33 -12.60 -22.19 -100.64 -18.99 -12.71 eV for the cell shown.